1.
Below is crystalline Dy2PuNiO8 at its relaxed geometry, with properties calculated at the PBE with a Hubbard U level.

Results
- VASP energy: -7.91 eV per atom

Cell: 4.5527 5.0668 7.0862 Å, 83.31 87.54 83.61°
Fractional positions:
Dy  0.0830  0.0161  0.2354
Dy  0.9170  0.9839  0.7646
Pu  0.5000  0.5000  0.5000
Ni  0.5000  0.5000  0.0000
O  0.1338  0.7406  0.5230
O  0.2100  0.7820  0.9920
O  0.3529  0.3624  0.2395
O  0.3743  0.2129  0.6763
O  0.6257  0.7871  0.3237
O  0.6471  0.6376  0.7605
O  0.7900  0.2180  0.0080
O  0.8662  0.2594  0.4770

2.
Below is crystalline Dy2NiRuO6 at its relaxed geometry, with properties calculated at the PBE with a Hubbard U level.

Results
- N(E_F): 0.482 states/eV/atom
- VASP energy: -7.36 eV per atom

Cell: 5.2886 5.7448 9.2919 Å, 90.00 124.62 90.00°
Fractional positions:
Dy  0.2256  0.0777  0.2513
Dy  0.2256  0.4223  0.7513
Dy  0.7744  0.5777  0.2487
Dy  0.7744  0.9223  0.7487
Ni  0.5000  0.0000  0.0000
Ni  0.5000  0.5000  0.5000
Ru  0.0000  0.0000  0.5000
Ru  0.0000  0.5000  0.0000
O  0.1182  0.1967  0.9376
O  0.1182  0.3033  0.4376
O  0.2534  0.6899  0.9414
O  0.2534  0.8101  0.4414
O  0.3692  0.0452  0.7462
O  0.3692  0.4548  0.2462
O  0.6308  0.5452  0.7538
O  0.6308  0.9548  0.2538
O  0.7466  0.1899  0.5586
O  0.7466  0.3101  0.0586
O  0.8818  0.6967  0.5624
O  0.8818  0.8033  0.0624

3.
Below is crystalline DyNiS2O8 at its relaxed geometry, with properties calculated at the PBE with a Hubbard U level.

Results
- N(E_F): 0.512 states/eV/atom
- VASP energy: -6.17 eV per atom

Cell: 5.1538 5.1538 6.7783 Å, 90.00 90.00 120.00°
Fractional positions:
Dy  0.0000  0.0000  0.0000
Ni  0.0000  0.0000  0.5000
S  0.3333  0.6667  0.2007
S  0.6667  0.3333  0.7993
O  0.1745  0.3489  0.2701
O  0.1745  0.8255  0.2701
O  0.3333  0.6667  0.9806
O  0.3489  0.1745  0.7299
O  0.6511  0.8255  0.2701
O  0.6667  0.3333  0.0194
O  0.8255  0.1745  0.7299
O  0.8255  0.6511  0.7299

4.
Below is crystalline DyNi3Se4O12 at its relaxed geometry, with properties calculated at the PBE with a Hubbard U level.

Results
- N(E_F): 0.301 states/eV/atom
- VASP energy: -5.19 eV per atom

Cell: 6.6517 6.6517 6.6517 Å, 105.74 105.74 105.74°
Fractional positions:
Dy  0.0000  0.0000  0.0000
Ni  0.0000  0.5777  0.4223
Ni  0.4223  0.0000  0.5777
Ni  0.5777  0.4223  0.0000
Se  0.1055  0.5000  0.8945
Se  0.5000  0.5000  0.5000
Se  0.5000  0.8945  0.1055
Se  0.8945  0.1055  0.5000
O  0.0065  0.2482  0.3259
O  0.0568  0.9432  0.5000
O  0.2482  0.3259  0.0065
O  0.3259  0.0065  0.2482
O  0.3257  0.6743  0.5000
O  0.5000  0.0568  0.9432
O  0.5000  0.3257  0.6743
O  0.6743  0.5000  0.3257
O  0.6741  0.7518  0.9935
O  0.7518  0.9935  0.6741
O  0.9432  0.5000  0.0568
O  0.9935  0.6741  0.7518

5.
Below is crystalline SmDyNi4O12 at its relaxed geometry, with properties calculated at the PBE with a Hubbard U level.

Results
- N(E_F): 0.678 states/eV/atom
- VASP energy: -5.33 eV per atom

Cell: 5.1234 5.1234 8.0435 Å, 90.00 90.00 91.63°
Fractional positions:
Sm  0.0000  0.0000  0.0000
Dy  0.5000  0.5000  0.5000
Ni  0.0000  0.5000  0.2503
Ni  0.0000  0.5000  0.7497
Ni  0.5000  0.0000  0.2503
Ni  0.5000  0.0000  0.7497
O  0.0000  0.5000  0.0000
O  0.0000  0.5000  0.5000
O  0.1787  0.8213  0.2432
O  0.1787  0.8213  0.7568
O  0.3208  0.3208  0.2630
O  0.3208  0.3208  0.7370
O  0.5000  0.0000  0.0000
O  0.5000  0.0000  0.5000
O  0.6792  0.6792  0.2630
O  0.6792  0.6792  0.7370
O  0.8213  0.1787  0.2432
O  0.8213  0.1787  0.7568

6.
Below is crystalline SrDyNiO4 at its relaxed geometry, with properties calculated at the PBE with a Hubbard U level.

Results
- N(E_F): 0.092 states/eV/atom
- VASP energy: -6.42 eV per atom

Cell: 6.6415 6.6415 6.6415 Å, 146.84 146.84 47.60°
Fractional positions:
Sr  0.0000  0.0000  0.0000
Dy  0.7202  0.7202  0.0000
Ni  0.3588  0.3588  0.0000
O  0.1942  0.1942  0.0000
O  0.3437  0.8437  0.5000
O  0.5351  0.5351  0.0000
O  0.8437  0.3437  0.5000